This record from Alexandria via LeMat-Bulk describes a relaxed LiY2BIr crystal. The functional is PBE.

Cell: 5.104 5.104 3.992 Å, 90.00 90.00 90.00°
Sites, in units of the cell vectors:
Y 0.500 0.000 0.000
Y 0.000 0.500 0.000
Ir 0.000 0.000 0.500
B 0.000 0.000 0.000
Li 0.500 0.500 0.500

Computed properties:
- DOS at the Fermi energy (states/eV per cell) = 3.3
- SG = P4/mmm (123)

=====

This record from Alexandria via LeMat-Bulk describes a relaxed LiYBIr2 crystal. The functional is PBE.

Cell: 4.192 4.192 4.286 Å, 90.00 90.00 90.00°
Sites, in units of the cell vectors:
B 0.000 0.000 0.000
Y 0.500 0.500 0.500
Li 0.000 0.000 0.500
Ir 0.000 0.500 0.000
Ir 0.500 0.000 0.000

Computed properties:
- DOS at the Fermi energy (states/eV per cell) = 1.2
- SG = P4/mmm (123)

=====

This record from Alexandria via LeMat-Bulk describes a relaxed Li3Zn2BIr3 crystal. The functional is PBE.

Cell: 2.832 6.798 6.798 Å, 120.00 90.00 90.00°
Sites, in units of the cell vectors:
Zn 0.500 0.333 0.667
Zn 0.500 0.667 0.333
Ir 0.500 0.248 0.248
Ir 0.500 0.000 0.752
Ir 0.500 0.752 0.000
Li 0.000 0.620 0.620
Li 0.000 0.380 0.000
Li 0.000 0.000 0.380
B 0.000 0.000 0.000

Computed properties:
- DOS at the Fermi energy (states/eV per cell) = 4.9
- SG = P-62m (189)

=====

This record from Alexandria via LeMat-Bulk describes a relaxed Li2ZnB2Ir5 crystal. The functional is PBE.

Cell: 2.879 9.426 9.426 Å, 90.00 90.00 90.00°
Sites, in units of the cell vectors:
B 0.000 0.373 0.127
B 0.000 0.127 0.627
B 0.000 0.627 0.873
B 0.000 0.873 0.373
Zn 0.000 0.500 0.500
Zn 0.000 0.000 0.000
Li 0.000 0.825 0.675
Li 0.000 0.325 0.825
Li 0.000 0.175 0.325
Li 0.000 0.675 0.175
Ir 0.500 0.571 0.715
Ir 0.500 0.285 0.571
Ir 0.500 0.500 0.000
Ir 0.500 0.071 0.785
Ir 0.500 0.715 0.429
Ir 0.500 0.215 0.071
Ir 0.500 0.429 0.285
Ir 0.500 0.785 0.929
Ir 0.500 0.929 0.215
Ir 0.500 0.000 0.500

Computed properties:
- DOS at the Fermi energy (states/eV per cell) = 15.8
- SG = P4/mbm (127)

=====

Total DFT energy (no corrections) / Ha/atom: -0.23805; -0.26404; -0.18046; -0.24031
Formation enthalpy at 0 K / meV/atom: -402; -629; -294; -263